# 1
DFT (meta-GGA SCAN) results for CaAgSe at its PBEsol-relaxed geometry.

POSCAR file:
```
CaAgSe
1.0
-1.901 1.901 4.657
1.901 -1.901 4.657
1.901 1.901 -4.657
Ca Ag Se
1 1 1
Cartesian
0.000 0.000 0.000
0.000 0.000 6.325
0.000 0.000 3.470
```

The uncorrected formation energy is -0.7801 eV/atom.

# 2
DFT (meta-GGA SCAN) results for CaAg2Se at its PBEsol-relaxed geometry.

POSCAR file:
```
CaAg2Se
1.0
0.000 3.448 3.448
3.448 0.000 3.448
3.448 3.448 0.000
Ca Ag Se
1 2 1
Cartesian
0.000 0.000 0.000
1.724 1.724 1.724
3.448 3.448 3.448
5.172 5.172 5.172
```

The uncorrected formation energy is -0.4728 eV/atom.

# 3
DFT (meta-GGA SCAN) results for Ca2AgSe2 at its PBEsol-relaxed geometry.

POSCAR file:
```
Ca2AgSe2
1.0
7.762 0.000 0.000
0.000 7.762 0.000
0.000 0.000 3.797
Ca Ag Se
4 2 4
Cartesian
1.196 2.685 0.000
2.685 6.566 0.000
5.077 1.196 0.000
6.566 5.077 0.000
0.000 0.000 1.898
3.881 3.881 1.898
1.214 5.095 1.898
2.667 1.214 1.898
5.095 6.548 1.898
6.548 2.667 1.898
```

The uncorrected formation energy is -1.3643 eV/atom.

# 4
DFT (meta-GGA SCAN) results for CaAg2Se2 at its PBEsol-relaxed geometry.

POSCAR file:
```
CaAg2Se2
1.0
-1.954 1.954 6.989
1.954 -1.954 6.989
1.954 1.954 -6.989
Ca Ag Se
1 2 2
Cartesian
0.000 0.000 0.000
1.954 0.000 3.495
0.000 1.954 3.495
0.000 0.000 5.441
0.000 0.000 8.538
```

The uncorrected formation energy is -0.8176 eV/atom.

# 5
DFT (meta-GGA SCAN) results for Ca2Si2Ag at its PBEsol-relaxed geometry.

POSCAR file:
```
Ca2Si2Ag
1.0
6.813 0.000 0.000
0.000 6.813 0.000
0.000 0.000 4.539
Ca Si Ag
4 4 2
Cartesian
1.159 2.248 0.000
2.248 5.654 0.000
4.565 1.159 0.000
5.654 4.565 0.000
0.879 4.285 2.269
2.528 0.879 2.269
4.285 5.934 2.269
5.934 2.528 2.269
0.000 0.000 2.269
3.407 3.407 2.269
```

The uncorrected formation energy is -0.3682 eV/atom. The excess energy over the best structure of this formula in the dataset is 0 meV per atom.

# 6
DFT (meta-GGA SCAN) results for CaSi2Ag at its PBEsol-relaxed geometry.

POSCAR file:
```
CaSi2Ag
1.0
1.961 1.132 6.226
-1.961 1.132 6.226
0.000 -2.264 6.226
Ca Si Ag
1 2 1
Cartesian
0.000 0.000 0.000
0.000 0.000 9.164
0.000 0.000 14.479
0.000 0.000 4.200
```

The uncorrected formation energy is -0.0203 eV/atom.

# 7
DFT (meta-GGA SCAN) results for Ca2Si2Ag at its PBEsol-relaxed geometry.

POSCAR file:
```
Ca2Si2Ag
1.0
-2.362 2.362 5.677
2.362 -2.362 5.677
2.362 2.362 -5.677
Ca Si Ag
2 2 1
Cartesian
2.362 0.000 2.838
0.000 2.362 2.838
0.000 0.000 1.092
0.000 0.000 10.261
0.000 0.000 5.677
```

The uncorrected formation energy is 0.2268 eV/atom. The excess energy over the best structure of this formula in the dataset is 595 meV per atom.

# 8
DFT (meta-GGA SCAN) results for CaSiAg2 at its PBEsol-relaxed geometry.

POSCAR file:
```
CaSiAg2
1.0
4.288 0.000 0.000
0.000 4.288 0.000
0.000 0.000 4.112
Ca Si Ag
1 1 2
Cartesian
0.000 0.000 0.000
2.144 2.144 0.000
0.000 2.144 2.056
2.144 0.000 2.056
```

The uncorrected formation energy is -0.0086 eV/atom.

# 9
DFT (meta-GGA SCAN) results for CaSi2Ag at its PBEsol-relaxed geometry.

POSCAR file:
```
CaSi2Ag
1.0
0.000 3.337 3.337
3.337 0.000 3.337
3.337 3.337 0.000
Ca Si Ag
1 2 1
Cartesian
0.000 0.000 0.000
1.669 1.669 1.669
5.006 5.006 5.006
3.337 3.337 3.337
```

The uncorrected formation energy is 0.2180 eV/atom.

# 10
DFT (meta-GGA SCAN) results for Ca2SiAg at its PBEsol-relaxed geometry.

POSCAR file:
```
Ca2SiAg
1.0
3.438 0.000 0.000
0.000 5.145 0.000
0.000 0.000 5.152
Ca Si Ag
2 1 1
Cartesian
0.000 0.000 0.000
0.000 2.573 2.506
1.719 2.573 5.067
1.719 0.000 2.614
```

The uncorrected formation energy is -0.3481 eV/atom.

# 11
DFT (meta-GGA SCAN) results for CaZnSiAg2 at its PBEsol-relaxed geometry.

POSCAR file:
```
CaZnSiAg2
1.0
4.710 0.000 0.000
0.000 4.710 0.000
0.000 0.000 5.250
Ca Zn Si Ag
1 1 1 2
Cartesian
0.000 0.000 0.000
0.000 0.000 2.625
2.355 2.355 0.000
0.000 2.355 2.625
2.355 0.000 2.625
```

The uncorrected formation energy is 0.5357 eV/atom.

# 12
DFT (meta-GGA SCAN) results for CaAgSn at its PBEsol-relaxed geometry.

POSCAR file:
```
CaAgSn
1.0
4.769 0.000 0.000
-2.385 4.130 0.000
0.000 0.000 10.771
Ca Ag Sn
3 3 3
Cartesian
0.000 0.000 0.000
0.000 0.000 3.577
0.000 0.000 7.154
0.000 2.753 8.968
2.385 1.377 1.521
2.385 1.377 5.641
0.000 2.753 1.980
0.000 2.753 5.173
2.385 1.377 8.957
```

As for the formation energy: -0.6055 eV per atom.

| no. | final energy (eV per atom) |
| --- | --- |
| 1 | -21.150 |
| 2 | -23.592 |
| 3 | -19.534 |
| 4 | -23.328 |
| 5 | -14.513 |
| 6 | -15.286 |
| 7 | -13.918 |
| 8 | -20.612 |
| 9 | -15.048 |
| 10 | -15.526 |
| 11 | -18.650 |
| 12 | -26.256 |